--- 1 ---
The following is a PBE calculation of a relaxed AlTeH3 crystal, from Alexandria.

a b c (Å): 3.7863 3.7863 3.7863
angles (deg): 90.00 90.00 90.00
Fractional coordinates of all 5 atoms:
H (0.0000, 0.5000, 0.0000)
H (0.0000, 0.0000, 0.5000)
H (0.5000, 0.0000, 0.0000)
Te (0.5000, 0.5000, 0.5000)
Al (0.0000, 0.0000, 0.0000)

Calculated values
**SG**: Pm-3m, No. 221
**N(E_F)**: 0.552 states/eV per atom
**Mass density**: 4.82 g/cm³
**M_tot**: 0.00 μB/cell

***

--- 2 ---
The following is a PBE calculation of a relaxed AlTeH3 crystal, from Alexandria.

a b c (Å): 4.1300 4.1300 4.1300
angles (deg): 90.00 90.00 90.00
Fractional coordinates of all 5 atoms:
H (0.0000, 0.5000, 0.0000)
H (0.0000, 0.0000, 0.5000)
H (0.5000, 0.0000, 0.0000)
Te (0.0000, 0.0000, 0.0000)
Al (0.5000, 0.5000, 0.5000)

Calculated values
**SG**: Pm-3m, No. 221
**N(E_F)**: 0.349 states/eV per atom
**Mass density**: 3.71 g/cm³
**M_tot**: 0.00 μB/cell

***

Relative to the most stable structure, the computed energies are 1 0.0; 2 20.8, all in kJ/mol of atoms.

***

--- 1 ---
The following is a PBE calculation of a relaxed TiAlH3 crystal, from Alexandria.

a b c (Å): 3.4703 3.4703 3.4703
angles (deg): 90.00 90.00 90.00
Fractional coordinates of all 5 atoms:
H (0.0000, 0.5000, 0.0000)
H (0.0000, 0.0000, 0.5000)
H (0.5000, 0.0000, 0.0000)
Al (0.0000, 0.0000, 0.0000)
Ti (0.5000, 0.5000, 0.5000)

Calculated values
**SG**: Pm-3m, No. 221
**N(E_F)**: 0.485 states/eV per atom
**Mass density**: 3.09 g/cm³
**M_tot**: 0.00 μB/cell

***

--- 2 ---
The following is a PBE calculation of a relaxed TiAlH3 crystal, from Alexandria.

a b c (Å): 3.5164 3.5164 3.5164
angles (deg): 90.00 90.00 90.00
Fractional coordinates of all 5 atoms:
H (0.0000, 0.5000, 0.0000)
H (0.0000, 0.0000, 0.5000)
H (0.5000, 0.0000, 0.0000)
Al (0.5000, 0.5000, 0.5000)
Ti (0.0000, 0.0000, 0.0000)

Calculated values
**SG**: Pm-3m, No. 221
**N(E_F)**: 0.517 states/eV per atom
**Mass density**: 2.97 g/cm³
**M_tot**: 0.00 μB/cell

***

Relative to the most stable structure, the computed energies are 1 34.2; 2 0.0, all in kJ/mol of atoms.

***

--- 1 ---
The following is a PBE calculation of a relaxed Ti6Al2H crystal, from Alexandria.

a b c (Å): 5.7386 5.7386 5.7388
angles (deg): 60.00 60.00 60.00
Fractional coordinates of all 9 atoms:
Ti (0.2484, 0.2484, 0.7515)
Ti (0.2485, 0.7515, 0.2485)
Ti (0.7515, 0.2485, 0.7515)
Ti (0.7515, 0.2485, 0.2485)
Ti (0.2485, 0.7515, 0.7515)
Ti (0.7516, 0.7516, 0.2485)
Al (0.2500, 0.2500, 0.2499)
Al (0.7500, 0.7500, 0.7501)
H (0.5000, 0.5000, 0.5000)

Calculated values
**SG**: Fm-3m, No. 225
**N(E_F)**: 0.696 states/eV per atom
**Mass density**: 4.25 g/cm³
**M_tot**: 0.00 μB/cell

***

--- 2 ---
The following is a PBE calculation of a relaxed Ti6Al2H crystal, from Alexandria.

a b c (Å): 5.6157 5.3712 9.1324
angles (deg): 90.00 90.23 90.00
Fractional coordinates of all 18 atoms:
Ti (0.8739, 0.0307, 0.2526)
Ti (0.8538, 0.6992, 0.5110)
Ti (0.8753, 0.7416, 0.9853)
Ti (0.6247, 0.2416, 0.5147)
Ti (0.6462, 0.1992, 0.9890)
Ti (0.6261, 0.5307, 0.2474)
Ti (0.1261, 0.9693, 0.7474)
Ti (0.1462, 0.3008, 0.4890)
Ti (0.1247, 0.2584, 0.0147)
Ti (0.3753, 0.7584, 0.4853)
Ti (0.3538, 0.8008, 0.0110)
Ti (0.3739, 0.4693, 0.7526)
Al (0.8895, 0.4217, 0.7549)
Al (0.6105, 0.9217, 0.7451)
Al (0.3895, 0.0783, 0.2549)
Al (0.1105, 0.5783, 0.2451)
H (0.5000, 0.5000, 0.0000)
H (0.0000, 0.0000, 0.5000)

Calculated values
**SG**: P2_1/c, No. 14
**N(E_F)**: 1.089 states/eV per atom
**Mass density**: 4.13 g/cm³
**M_tot**: 0.00 μB/cell

***

Relative to the most stable structure, the computed energies are 1 0.0; 2 12.8, all in kJ/mol of atoms.

***

--- 1 ---
The following is a PBE calculation of a relaxed TiAl2H crystal, from Alexandria.

a b c (Å): 4.3809 4.3809 4.3809
angles (deg): 60.00 60.00 60.00
Each line ends with the local moment (μB).
Fractional coordinates of all 4 atoms:
H (0.0000, 0.0000, 0.0000)  0.06
Al (0.2500, 0.2500, 0.2500)  0.01
Al (0.7500, 0.7500, 0.7500)  0.01
Ti (0.5000, 0.5000, 0.5000)  0.58

Calculated values
**SG**: Fm-3m, No. 225
**N(E_F)**: 0.388 states/eV per atom
**Mass density**: 2.87 g/cm³
**M_tot**: 0.90 μB/cell

***

--- 2 ---
The following is a PBE calculation of a relaxed TiAl2H crystal, from Alexandria.

a b c (Å): 5.4374 5.4374 5.3063
angles (deg): 59.18 59.18 90.00
Fractional coordinates of all 8 atoms:
H (0.5000, 0.5000, 0.0000)
H (0.2500, 0.7500, 0.5000)
Al (0.4602, 0.1250, 0.2500)
Al (0.2898, 0.6250, 0.2500)
Al (0.3750, 0.5398, 0.7500)
Al (0.8750, 0.7102, 0.7500)
Ti (0.0000, 0.0000, 0.0000)
Ti (0.7500, 0.2500, 0.5000)

Calculated values
**SG**: I-42d, No. 122
**N(E_F)**: 0.133 states/eV per atom
**Mass density**: 3.16 g/cm³
**M_tot**: 0.00 μB/cell

***

Relative to the most stable structure, the computed energies are 1 45.8; 2 0.0, all in kJ/mol of atoms.

***

--- 1 ---
The following is a PBE calculation of a relaxed TiAl3H crystal, from Alexandria.

a b c (Å): 5.1420 5.1420 5.1420
angles (deg): 90.00 90.00 90.00
Each line ends with the local moment (μB).
Fractional coordinates of all 5 atoms:
H (0.5000, 0.5000, 0.5000)  0.29
Al (0.0000, 0.5000, 0.0000)  0.09
Al (0.0000, 0.0000, 0.5000)  0.06
Al (0.5000, 0.0000, 0.0000)  0.10
Ti (0.0000, 0.0000, 0.0000)  1.63

Calculated values
**SG**: Pm-3m, No. 221
**N(E_F)**: 0.810 states/eV per atom
**Mass density**: 1.59 g/cm³
**M_tot**: 4.04 μB/cell

***

--- 2 ---
The following is a PBE calculation of a relaxed TiAl3H crystal, from Alexandria.

a b c (Å): 4.0141 4.0141 4.0141
angles (deg): 90.00 90.00 90.00
Fractional coordinates of all 5 atoms:
H (0.0000, 0.0000, 0.0000)
Al (0.0000, 0.5000, 0.0000)
Al (0.0000, 0.0000, 0.5000)
Al (0.5000, 0.0000, 0.0000)
Ti (0.5000, 0.5000, 0.5000)

Calculated values
**SG**: Pm-3m, No. 221
**N(E_F)**: 0.133 states/eV per atom
**Mass density**: 3.33 g/cm³
**M_tot**: 0.00 μB/cell

***

Relative to the most stable structure, the computed energies are 1 143.3; 2 0.0, all in kJ/mol of atoms.

***

--- 1 ---
The following is a PBE calculation of a relaxed ZrTi2AlH crystal, from Alexandria.

a b c (Å): 4.1647 4.1647 4.2468
angles (deg): 90.00 90.00 90.00
Fractional coordinates of all 5 atoms:
H (0.0000, 0.0000, 0.0000)
Al (0.5000, 0.5000, 0.5000)
Zr (0.0000, 0.0000, 0.5000)
Ti (0.0000, 0.5000, 0.0000)
Ti (0.5000, 0.0000, 0.0000)

Calculated values
**SG**: P4/mmm, No. 123
**N(E_F)**: 0.626 states/eV per atom
**Mass density**: 4.85 g/cm³
**M_tot**: 0.00 μB/cell

***

--- 2 ---
The following is a PBE calculation of a relaxed ZrTi2AlH crystal, from Alexandria.

a b c (Å): 4.0372 4.0372 4.5770
angles (deg): 90.00 90.00 90.00
Each line ends with the local moment (μB).
Fractional coordinates of all 5 atoms:
H (0.0000, 0.0000, 0.0000)  0.00
Al (0.0000, 0.0000, 0.5000)  0.00
Zr (0.5000, 0.5000, 0.5000)  0.03
Ti (0.0000, 0.5000, 0.0000)  0.32
Ti (0.5000, 0.0000, 0.0000)  0.32

Calculated values
**SG**: P4/mmm, No. 123
**N(E_F)**: 1.199 states/eV per atom
**Mass density**: 4.78 g/cm³
**M_tot**: 0.89 μB/cell

***

Relative to the most stable structure, the computed energies are 1 0.0; 2 14.1, all in kJ/mol of atoms.

***

--- 1 ---
The following is a PBE calculation of a relaxed Zr2TiAlH crystal, from Alexandria.

a b c (Å): 5.3031 3.2458 5.3031
angles (deg): 90.00 90.00 90.00
Fractional coordinates of all 5 atoms:
H (0.0000, 0.5000, 0.0000)
Al (0.5000, 0.5000, 0.5000)
Zr (0.0000, 0.0000, 0.5000)
Zr (0.5000, 0.0000, 0.0000)
Ti (0.0000, 0.0000, 0.0000)

Calculated values
**SG**: P4/mmm, No. 123
**N(E_F)**: 1.153 states/eV per atom
**Mass density**: 4.70 g/cm³
**M_tot**: 0.00 μB/cell

***

--- 2 ---
The following is a PBE calculation of a relaxed Zr2TiAlH crystal, from Alexandria.

a b c (Å): 4.1971 4.1971 4.6061
angles (deg): 90.00 90.00 90.00
Fractional coordinates of all 5 atoms:
H (0.0000, 0.0000, 0.0000)
Al (0.0000, 0.0000, 0.5000)
Zr (0.0000, 0.5000, 0.0000)
Zr (0.5000, 0.0000, 0.0000)
Ti (0.5000, 0.5000, 0.5000)

Calculated values
**SG**: P4/mmm, No. 123
**N(E_F)**: 1.413 states/eV per atom
**Mass density**: 5.29 g/cm³
**M_tot**: 0.00 μB/cell

***

--- 3 ---
The following is a PBE calculation of a relaxed Zr2TiAlH crystal, from Alexandria.

a b c (Å): 4.3704 4.3704 4.1773
angles (deg): 90.00 90.00 90.00
Fractional coordinates of all 5 atoms:
H (0.0000, 0.0000, 0.0000)
Al (0.5000, 0.5000, 0.5000)
Zr (0.0000, 0.5000, 0.0000)
Zr (0.5000, 0.0000, 0.0000)
Ti (0.0000, 0.0000, 0.5000)

Calculated values
**SG**: P4/mmm, No. 123
**N(E_F)**: 0.526 states/eV per atom
**Mass density**: 5.38 g/cm³
**M_tot**: 0.00 μB/cell

***

Relative to the most stable structure, the computed energies are 1 79.8; 2 16.4; 3 0.0, all in kJ/mol of atoms.

***

--- 1 ---
The following is a PBE calculation of a relaxed AlTl2H crystal, from Alexandria.

a b c (Å): 4.9273 4.9273 4.9273
angles (deg): 60.00 60.00 60.00
Fractional coordinates of all 4 atoms:
H (0.0000, 0.0000, 0.0000)
Tl (0.2500, 0.2500, 0.2500)
Tl (0.7500, 0.7500, 0.7500)
Al (0.5000, 0.5000, 0.5000)

Calculated values
**SG**: Fm-3m, No. 225
**N(E_F)**: 0.473 states/eV per atom
**Mass density**: 8.57 g/cm³
**M_tot**: 0.00 μB/cell

***

--- 2 ---
The following is a PBE calculation of a relaxed AlTl2H crystal, from Alexandria.

a b c (Å): 5.4022 5.4022 7.6491
angles (deg): 69.32 69.32 90.00
Fractional coordinates of all 8 atoms:
H (0.5000, 0.5000, 0.0000)
H (0.2500, 0.7500, 0.5000)
Tl (0.5361, 0.1250, 0.2500)
Tl (0.2139, 0.6250, 0.2500)
Tl (0.3750, 0.4639, 0.7500)
Tl (0.8750, 0.7861, 0.7500)
Al (0.0000, 0.0000, 0.0000)
Al (0.7500, 0.2500, 0.5000)

Calculated values
**SG**: I-42d, No. 122
**N(E_F)**: 0.463 states/eV per atom
**Mass density**: 7.50 g/cm³
**M_tot**: 0.00 μB/cell

***

Relative to the most stable structure, the computed energies are 1 2.9; 2 0.0, all in kJ/mol of atoms.

***

--- 1 ---
The following is a PBE calculation of a relaxed AlTlH2 crystal, from Alexandria.

a b c (Å): 4.2986 4.2986 4.2986
angles (deg): 60.00 60.00 60.00
Fractional coordinates of all 4 atoms:
H (0.2500, 0.2500, 0.2500)
H (0.7500, 0.7500, 0.7500)
Tl (0.5000, 0.5000, 0.5000)
Al (0.0000, 0.0000, 0.0000)

Calculated values
**SG**: Fm-3m, No. 225
**N(E_F)**: 0.203 states/eV per atom
**Mass density**: 6.90 g/cm³
**M_tot**: 0.00 μB/cell

***

--- 2 ---
The following is a PBE calculation of a relaxed AlTlH2 crystal, from Alexandria.

a b c (Å): 4.6429 4.6429 6.4666
angles (deg): 68.96 68.96 90.00
Fractional coordinates of all 8 atoms:
H (0.3757, 0.1250, 0.2500)
H (0.3743, 0.6250, 0.2500)
H (0.3750, 0.6243, 0.7500)
H (0.8750, 0.6257, 0.7500)
Tl (0.0000, 0.0000, 0.0000)
Tl (0.7500, 0.2500, 0.5000)
Al (0.5000, 0.5000, 0.0000)
Al (0.2500, 0.7500, 0.5000)

Calculated values
**SG**: I4_1/amd, No. 141
**N(E_F)**: 0.223 states/eV per atom
**Mass density**: 6.45 g/cm³
**M_tot**: 0.00 μB/cell

***

Relative to the most stable structure, the computed energies are 1 38.5; 2 0.0, all in kJ/mol of atoms.

***

--- 1 ---
The following is a PBE calculation of a relaxed TmAlH crystal, from Alexandria.

a b c (Å): 4.1061 4.1021 7.4661
angles (deg): 105.92 90.00 120.03
Fractional coordinates of all 6 atoms:
H (0.7019, 0.9040, 0.6077)
H (0.2981, 0.0960, 0.3923)
Tm (0.3999, 0.2999, 0.6981)
Tm (0.6001, 0.7001, 0.3019)
Al (0.1561, 0.8122, 0.9679)
Al (0.8439, 0.1878, 0.0321)

Calculated values
**SG**: C2/m, No. 12
**N(E_F)**: 0.398 states/eV per atom
**Mass density**: 6.33 g/cm³
**M_tot**: 0.00 μB/cell

***

--- 2 ---
The following is a PBE calculation of a relaxed TmAlH crystal, from Alexandria.

a b c (Å): 3.0634 3.0634 5.8748
angles (deg): 105.11 105.11 90.00
Each line ends with the local moment (μB).
Fractional coordinates of all 3 atoms:
H (0.2672, 0.2672, 0.5344)  0.00
Tm (0.7244, 0.7244, 0.4488)  0.17
Al (0.0084, 0.0084, 0.0168)  0.00

Calculated values
**SG**: I4mm, No. 107
**N(E_F)**: 0.652 states/eV per atom
**Mass density**: 6.38 g/cm³
**M_tot**: 0.15 μB/cell

***

Relative to the most stable structure, the computed energies are 1 0.0; 2 28.3, all in kJ/mol of atoms.

***

--- 1 ---
The following is a PBE calculation of a relaxed Al2VH crystal, from Alexandria.

a b c (Å): 2.7277 2.7277 6.4704
angles (deg): 90.00 90.00 90.00
Fractional coordinates of all 4 atoms:
H (0.5000, 0.5000, 0.5000)
Al (0.0000, 0.0000, 0.7060)
Al (0.0000, 0.0000, 0.2940)
V (0.5000, 0.5000, 0.0000)

Calculated values
**SG**: P4/mmm, No. 123
**N(E_F)**: 0.458 states/eV per atom
**Mass density**: 3.65 g/cm³
**M_tot**: 0.00 μB/cell

***

--- 2 ---
The following is a PBE calculation of a relaxed Al2VH crystal, from Alexandria.

a b c (Å): 4.2815 4.2815 4.2815
angles (deg): 60.00 60.00 60.00
Each line ends with the local moment (μB).
Fractional coordinates of all 4 atoms:
H (0.0000, 0.0000, 0.0000)  0.01
Al (0.2500, 0.2500, 0.2500)  -0.02
Al (0.7500, 0.7500, 0.7500)  -0.02
V (0.5000, 0.5000, 0.5000)  1.84

Calculated values
**SG**: Fm-3m, No. 225
**N(E_F)**: 0.646 states/eV per atom
**Mass density**: 3.17 g/cm³
**M_tot**: 2.09 μB/cell

***

--- 3 ---
The following is a PBE calculation of a relaxed Al2VH crystal, from Alexandria.

a b c (Å): 2.8541 2.8541 7.7929
angles (deg): 79.45 79.45 60.00
Fractional coordinates of all 4 atoms:
H (0.0000, 0.0000, 0.0000)
Al (0.0770, 0.0770, 0.7691)
Al (0.9230, 0.9230, 0.2309)
V (0.5000, 0.5000, 0.5000)

Calculated values
**SG**: R-3m, No. 166
**N(E_F)**: 0.447 states/eV per atom
**Mass density**: 3.27 g/cm³
**M_tot**: 0.00 μB/cell

***

Relative to the most stable structure, the computed energies are 1 10.7; 2 63.4; 3 0.0, all in kJ/mol of atoms.

***

--- 1 ---
The following is a PBE calculation of a relaxed Al2VH crystal, from Alexandria.

a b c (Å): 5.5916 5.5916 5.1172
angles (deg): 56.88 56.88 90.00
Fractional coordinates of all 8 atoms:
H (0.5000, 0.5000, 0.0000)
H (0.2500, 0.7500, 0.5000)
Al (0.5117, 0.1250, 0.2500)
Al (0.2383, 0.6250, 0.2500)
Al (0.3750, 0.4883, 0.7500)
Al (0.8750, 0.7617, 0.7500)
V (0.0000, 0.0000, 0.0000)
V (0.7500, 0.2500, 0.5000)

Calculated values
**SG**: I-42d, No. 122
**N(E_F)**: 0.833 states/eV per atom
**Mass density**: 3.46 g/cm³
**M_tot**: 0.00 μB/cell

***

--- 2 ---
The following is a PBE calculation of a relaxed Al2VH crystal, from Alexandria.

a b c (Å): 2.6738 4.5151 4.5151
angles (deg): 90.00 90.00 90.00
Fractional coordinates of all 4 atoms:
H (0.5000, 0.0000, 0.0000)
Al (0.0000, 0.0000, 0.5000)
Al (0.0000, 0.5000, 0.0000)
V (0.5000, 0.5000, 0.5000)

Calculated values
**SG**: P4/mmm, No. 123
**N(E_F)**: 0.621 states/eV per atom
**Mass density**: 3.23 g/cm³
**M_tot**: 0.00 μB/cell

***

--- 3 ---
The following is a PBE calculation of a relaxed Al2VH crystal, from Alexandria.

a b c (Å): 2.8882 2.8882 6.8411
angles (deg): 77.80 77.80 60.18
Fractional coordinates of all 4 atoms:
Al (0.0093, 0.0093, 0.9702)
Al (0.2283, 0.2283, 0.3142)
V (0.4490, 0.4490, 0.6534)
H (0.8135, 0.8135, 0.5623)

Calculated values
**SG**: Cm, No. 8
**N(E_F)**: 0.506 states/eV per atom
**Mass density**: 3.66 g/cm³
**M_tot**: 0.00 μB/cell

***

Relative to the most stable structure, the computed energies are 1 42.4; 2 38.3; 3 0.0, all in kJ/mol of atoms.